The following is a PBE-GGA calculation of a geometry-optimized BaMg2Tl structure, from Alexandria.

Computed properties:
As for the formation energy: -0.1479 eV/atom. Its polymorph energy (0 for the lowest one) is 0.038 eV per atom. For the total magnetic moment, the calculation gives 0.00 μB per cell. Its uncorrected energy is -16.140 eV for the cell shown. As for the density of states at the Fermi level: 6.08 states/eV per cell.

Structure (CIF):
```
data_BaMg2Tl
_chemical_formula_sum 'Ba2 Mg4 Tl2'
_space_group_name_H-M_alt 'P 1'
_space_group_IT_number 1
_cell_length_a 4.8041
_cell_length_b 4.8041
_cell_length_c 11.5552
_cell_angle_alpha 90.00
_cell_angle_beta 90.00
_cell_angle_gamma 90.00
loop_
_space_group_symop_operation_xyz
'x,y,z'
loop_
_atom_site_label
_atom_site_type_symbol
_atom_site_fract_x
_atom_site_fract_y
_atom_site_fract_z
Ba1 Ba 0.2500 0.2500 0.2403
Ba2 Ba 0.7500 0.7500 0.7597
Mg1 Mg 0.2500 0.2500 0.9275
Mg2 Mg 0.2500 0.7500 0.5000
Mg3 Mg 0.7500 0.2500 0.5000
Mg4 Mg 0.7500 0.7500 0.0725
Tl1 Tl 0.2500 0.2500 0.6552
Tl2 Tl 0.7500 0.7500 0.3448
```